(1)
This record from Alexandria via LeMat-Bulk describes crystalline B2RuSeN at its relaxed geometry. The functional is PBE.

Cell lengths 3.489, 4.452, 3.489 Å; angles 90.00, 90.00, 90.00 degrees
Atoms (fractional coordinates):
1 Ru 0.500 0.500 0.500
2 B 0.000 0.000 0.500
3 B 0.500 0.000 0.000
4 Se 0.000 0.500 0.000
5 N 0.000 0.000 0.000

## Properties
- calculated density (kg/m3) = 6608
- symmetry = P4/mmm
- M_tot (Bohr magnetons per cell) = 0.000
- ΔE_f (raw) (meV/atom) = 1562

(2)
This record from Alexandria via LeMat-Bulk describes crystalline BaAu2 at its relaxed geometry. The functional is PBE.

Cell lengths 7.729, 7.729, 7.729 Å; angles 90.00, 90.00, 90.00 degrees
Atoms (fractional coordinates):
1 Au 0.604 0.604 0.396
2 Au 0.396 0.396 0.604
3 Au 0.104 0.896 0.604
4 Au 0.896 0.104 0.396
5 Au 0.396 0.104 0.104
6 Au 0.604 0.896 0.896
7 Au 0.896 0.396 0.896
8 Au 0.104 0.604 0.104
9 Ba 0.000 0.000 0.000
10 Ba 0.500 0.500 0.000
11 Ba 0.500 0.000 0.500
12 Ba 0.000 0.500 0.500

## Properties
- calculated density (kg/m3) = 7641
- symmetry = Pa-3
- M_tot (Bohr magnetons per cell) = 0.000
- formation energy from the elements (eV/atom) = -0.342

(3)
This record from Alexandria via LeMat-Bulk describes crystalline AcTmSi2 at its relaxed geometry. The functional is PBE.

Cell lengths 3.819, 3.819, 6.646 Å; angles 90.00, 90.00, 90.00 degrees
Atoms (fractional coordinates):
1 Ac 0.500 0.500 0.000
2 Tm 0.500 0.500 0.500
3 Si 0.000 0.000 0.685
4 Si 0.000 0.000 0.315

## Properties
- calculated density (kg/m3) = 7746
- symmetry = P4/mmm
- relative energy among the computed polymorphs (meV per atom) = 97.4
- M_tot (Bohr magnetons per cell) = 0.001
- ΔE_f (raw) (meV/atom) = -495

(4)
This record from Alexandria via LeMat-Bulk describes crystalline InSn2Ge at its relaxed geometry. The functional is PBE.

Cell lengths 4.362, 4.817, 4.817 Å; angles 90.00, 90.00, 90.00 degrees
Atoms (fractional coordinates):
1 Ge 0.500 0.000 0.000
2 Sn 0.000 0.000 0.500
3 Sn 0.000 0.500 0.000
4 In 0.500 0.500 0.500

## Properties
- calculated density (kg/m3) = 6971
- symmetry = P4/mmm
- relative energy among the computed polymorphs (meV per atom) = 44.9
- M_tot (Bohr magnetons per cell) = 0.000
- formation energy from the elements (eV/atom) = 0.148

(5)
This record from Alexandria via LeMat-Bulk describes crystalline MgSiSeN2 at its relaxed geometry. The functional is PBE.

Cell lengths 4.052, 4.052, 5.455 Å; angles 90.00, 90.00, 90.00 degrees
Atoms (fractional coordinates):
1 Si 0.500 0.500 0.500
2 Mg 0.000 0.000 0.000
3 Se 0.000 0.000 0.500
4 N 0.000 0.500 0.000
5 N 0.500 0.000 0.000

## Properties
- calculated density (kg/m3) = 2954
- symmetry = P4/mmm
- relative energy among the computed polymorphs (meV per atom) = 1244.1
- M_tot (Bohr magnetons per cell) = 3.828
- ΔE_f (raw) (meV/atom) = 1341

(6)
This record from Alexandria via LeMat-Bulk describes crystalline Ti2CrN at its relaxed geometry. The functional is PBE.

Cell lengths 5.773, 5.773, 5.332 Å; angles 57.22, 57.22, 90.00 degrees
Atoms (fractional coordinates):
1 Cr 0.000 0.000 0.000
2 Cr 0.750 0.250 0.500
3 N 0.500 0.500 0.000
4 N 0.250 0.750 0.500
5 Ti 0.547 0.125 0.250
6 Ti 0.203 0.625 0.250
7 Ti 0.375 0.453 0.750
8 Ti 0.875 0.797 0.750

## Properties
- calculated density (kg/m3) = 4700
- symmetry = I-42d
- M_tot (Bohr magnetons per cell) = 0.002
- ΔE_f (raw) (meV/atom) = -37

Repeat the second record exactly.
This record from Alexandria via LeMat-Bulk describes crystalline BaAu2 at its relaxed geometry. The functional is PBE.

Cell lengths 7.729, 7.729, 7.729 Å; angles 90.00, 90.00, 90.00 degrees
Atoms (fractional coordinates):
1 Au 0.604 0.604 0.396
2 Au 0.396 0.396 0.604
3 Au 0.104 0.896 0.604
4 Au 0.896 0.104 0.396
5 Au 0.396 0.104 0.104
6 Au 0.604 0.896 0.896
7 Au 0.896 0.396 0.896
8 Au 0.104 0.604 0.104
9 Ba 0.000 0.000 0.000
10 Ba 0.500 0.500 0.000
11 Ba 0.500 0.000 0.500
12 Ba 0.000 0.500 0.500

## Properties
- calculated density (kg/m3) = 7641
- symmetry = Pa-3
- M_tot (Bohr magnetons per cell) = 0.000
- formation energy from the elements (eV/atom) = -0.342

Question: What is the formula in the second record?
Answer: BaAu2

Question: Which formula does entry 2 have?
Answer: BaAu2

Question: Among the records above, which one has the highest M_tot?
Answer: MgSiSeN2